Entry 1:
! InTeP2 (PBE-GGA, optimized geometry); values from VASP
&SYSTEM
  ibrav = 0, nat = 8, ntyp = 3
/
ATOMIC_SPECIES
In 114.82 In.upf
Te 127.60 Te.upf
P 30.97 P.upf
CELL_PARAMETERS angstrom
7.8868 0.0000 0.0000
0.0000 7.8989 0.0000
-0.1275 0.0000 2.9380
ATOMIC_POSITIONS angstrom
In 0.0000 0.0000 0.0000
In 3.9434 3.9495 0.0000
Te 0.0000 3.9495 0.0000
Te 3.9434 0.0000 0.0000
P 1.9717 1.9747 0.0000
P 1.9717 5.9242 0.0000
P 5.9151 1.9747 0.0000
P 5.9151 5.9242 0.0000
! Relative energy among the computed polymorphs: 0.252 eV/atom
! ΔE_f (raw): 0.33 eV per atom

---

Entry 2:
! InTeP2 (PBE-GGA, optimized geometry); values from VASP
&SYSTEM
  ibrav = 0, nat = 16, ntyp = 3
/
ATOMIC_SPECIES
In 114.82 In.upf
Te 127.60 Te.upf
P 30.97 P.upf
CELL_PARAMETERS angstrom
6.9590 0.0000 0.0000
0.0000 6.9590 0.0000
0.0000 0.0000 6.9590
ATOMIC_POSITIONS angstrom
In 0.0000 0.0000 0.0000
In 0.0000 3.4795 3.4795
In 3.4795 0.0000 3.4795
In 3.4795 3.4795 0.0000
Te 1.7398 1.7398 5.2193
Te 1.7398 5.2193 1.7398
Te 5.2193 1.7398 1.7398
Te 5.2193 5.2193 5.2193
P 0.0000 0.0000 3.4795
P 0.0000 3.4795 0.0000
P 1.7398 1.7398 1.7398
P 1.7398 5.2193 5.2193
P 3.4795 0.0000 0.0000
P 3.4795 3.4795 3.4795
P 5.2193 1.7398 5.2193
P 5.2193 5.2193 1.7398
! Relative energy among the computed polymorphs: 0.572 eV/atom
! ΔE_f (raw): 0.65 eV per atom

---

Entry 3:
! InTeP4 (PBE-GGA, optimized geometry); values from VASP
&SYSTEM
  ibrav = 0, nat = 6, ntyp = 3
/
ATOMIC_SPECIES
In 114.82 In.upf
Te 127.60 Te.upf
P 30.97 P.upf
CELL_PARAMETERS angstrom
0.0000 4.3319 4.3319
4.3319 0.0000 4.3319
4.3319 4.3319 0.0000
ATOMIC_POSITIONS angstrom
In 0.0000 0.0000 0.0000
Te 2.1659 2.1659 2.1659
P 5.1147 3.5490 3.5490
P 3.5490 5.1147 3.5490
P 3.5490 3.5490 5.1147
P 5.1147 5.1147 5.1147
! ΔE_f (raw): 0.30 eV per atom

---

Entry 4:
! InTeP2 (PBE-GGA, optimized geometry); values from VASP
&SYSTEM
  ibrav = 0, nat = 8, ntyp = 3
/
ATOMIC_SPECIES
In 114.82 In.upf
Te 127.60 Te.upf
P 30.97 P.upf
CELL_PARAMETERS angstrom
3.9961 0.0000 0.0000
0.0000 6.0862 0.0000
0.0000 0.0000 7.5157
ATOMIC_POSITIONS angstrom
In 0.0000 0.0000 0.0000
In 1.9980 3.0431 3.7578
Te 0.0000 0.0000 3.7578
Te 1.9980 3.0431 0.0000
P 0.0000 3.0431 1.8293
P 0.0000 3.0431 5.6864
P 1.9980 0.0000 1.9286
P 1.9980 0.0000 5.5871
! Relative energy among the computed polymorphs: 0.431 eV/atom
! ΔE_f (raw): 0.50 eV per atom

---

Entry 5:
! InTeP2 (PBE-GGA, optimized geometry); values from VASP
&SYSTEM
  ibrav = 0, nat = 8, ntyp = 3
/
ATOMIC_SPECIES
In 114.82 In.upf
Te 127.60 Te.upf
P 30.97 P.upf
CELL_PARAMETERS angstrom
3.8773 0.0000 0.0000
0.0000 5.6305 0.0000
0.0000 0.0000 8.2265
ATOMIC_POSITIONS angstrom
In 0.0000 0.0000 0.0000
In 0.0000 2.8153 4.1133
Te 1.9387 0.0000 5.9104
Te 1.9387 2.8153 1.7971
P 0.0000 0.0000 3.6474
P 0.0000 2.8153 7.7607
P 1.9387 0.0000 2.1536
P 1.9387 2.8153 6.2669
! Relative energy among the computed polymorphs: 0.047 eV/atom
! ΔE_f (raw): 0.12 eV per atom

---

Entry 6:
! InTeP2 (PBE-GGA, optimized geometry); values from VASP
&SYSTEM
  ibrav = 0, nat = 8, ntyp = 3
/
ATOMIC_SPECIES
In 114.82 In.upf
Te 127.60 Te.upf
P 30.97 P.upf
CELL_PARAMETERS angstrom
6.9311 0.0000 0.0000
0.0000 3.9706 0.0000
-2.2188 0.0000 6.4871
ATOMIC_POSITIONS angstrom
In 0.0000 0.0000 0.0000
In 3.4656 1.9853 0.0000
Te -1.1094 1.9853 3.2435
Te 2.3562 0.0000 3.2435
P 0.0600 0.0000 4.8882
P 1.1867 1.9853 1.5988
P 4.6523 0.0000 1.5988
P 3.5256 1.9853 4.8882
! Relative energy among the computed polymorphs: 0.120 eV/atom
! ΔE_f (raw): 0.19 eV per atom

---

Entry 7:
! InTeP2 (PBE-GGA, optimized geometry); values from VASP
&SYSTEM
  ibrav = 0, nat = 4, ntyp = 3
/
ATOMIC_SPECIES
In 114.82 In.upf
Te 127.60 Te.upf
P 30.97 P.upf
CELL_PARAMETERS angstrom
3.2924 0.0000 0.0000
0.0000 3.2924 0.0000
0.0000 0.0000 8.9403
ATOMIC_POSITIONS angstrom
In 0.0000 0.0000 0.0000
Te 1.6462 1.6462 5.9317
P 0.0000 0.0000 2.8641
P 1.6462 1.6462 3.3384
! Relative energy among the computed polymorphs: 0.109 eV/atom
! ΔE_f (raw): 0.18 eV per atom

---

Entry 8:
! InTe3P3 (PBE-GGA, optimized geometry); values from VASP
&SYSTEM
  ibrav = 0, nat = 14, ntyp = 3
/
ATOMIC_SPECIES
In 114.82 In.upf
Te 127.60 Te.upf
P 30.97 P.upf
CELL_PARAMETERS angstrom
9.7218 0.0000 0.0000
0.0000 3.6464 0.0000
-3.6497 0.0000 10.7703
ATOMIC_POSITIONS angstrom
In 0.3239 0.9116 3.5129
In 5.7481 2.7348 7.2574
Te -3.0307 0.9116 9.7851
Te -0.7018 2.7348 6.1963
Te 3.2586 2.7348 3.9345
Te 2.8135 0.9116 6.8358
Te 6.7738 0.9116 4.5740
Te 9.1027 2.7348 0.9853
P 3.5133 2.7348 0.3177
P 0.4091 0.9116 9.7483
P 1.2711 2.7348 7.8507
P 4.8009 0.9116 2.9196
P 5.6630 2.7348 1.0220
P 2.5587 0.9116 10.4526
! Relative energy among the computed polymorphs: 0.000 eV/atom
! ΔE_f (raw): 0.14 eV per atom

---

Repeat the eighth record exactly.
! InTe3P3 (PBE-GGA, optimized geometry); values from VASP
&SYSTEM
  ibrav = 0, nat = 14, ntyp = 3
/
ATOMIC_SPECIES
In 114.82 In.upf
Te 127.60 Te.upf
P 30.97 P.upf
CELL_PARAMETERS angstrom
9.7218 0.0000 0.0000
0.0000 3.6464 0.0000
-3.6497 0.0000 10.7703
ATOMIC_POSITIONS angstrom
In 0.3239 0.9116 3.5129
In 5.7481 2.7348 7.2574
Te -3.0307 0.9116 9.7851
Te -0.7018 2.7348 6.1963
Te 3.2586 2.7348 3.9345
Te 2.8135 0.9116 6.8358
Te 6.7738 0.9116 4.5740
Te 9.1027 2.7348 0.9853
P 3.5133 2.7348 0.3177
P 0.4091 0.9116 9.7483
P 1.2711 2.7348 7.8507
P 4.8009 0.9116 2.9196
P 5.6630 2.7348 1.0220
P 2.5587 0.9116 10.4526
! Relative energy among the computed polymorphs: 0.000 eV/atom
! ΔE_f (raw): 0.14 eV per atom

---

ΔE_f (raw) of number 8 (InTe3P3)?
0.14 eV per atom

---

ΔE_f (raw) of number 3 (InTeP4)?
0.30 eV per atom